No. 1
# CsNa6Tl2 (PBE-GGA, optimized geometry)
data_CsNa6Tl2
_space_group_name_H-M_alt 'P 4/m m m'
_space_group_IT_number 123
_space_group_name_Hall '-P 4 2'
_cell_length_a 5.838
_cell_length_b 5.838
_cell_length_c 10.353
_cell_angle_alpha 90.00
_cell_angle_beta 90.00
_cell_angle_gamma 90.00
loop_
_atom_site_label
_atom_site_fract_x
_atom_site_fract_y
_atom_site_fract_z
_atom_site_occupancy
Cs1 0.000 0.000 0.000 1
Na1 0.000 0.000 0.500 1
Na2 0.000 0.500 0.294 1
Na3 0.500 0.500 0.500 1
Tl1 0.500 0.500 0.148 1
# Uncorrected energy ... -13.72 eV per cell
# ΔE_f ... -0.2 eV per formula unit
# Magnetization ... 0.0 μB/cell

=====

No. 2
# Mn3Ni5H12 (PBE-GGA, optimized geometry)
data_Mn3Ni5H12
_space_group_name_H-M_alt 'I a -3 d'
_space_group_IT_number 230
_space_group_name_Hall '-I 4bd 2c 3'
_cell_length_a 10.221
_cell_length_b 10.221
_cell_length_c 10.221
_cell_angle_alpha 90.00
_cell_angle_beta 90.00
_cell_angle_gamma 90.00
loop_
_atom_site_label
_atom_site_fract_x
_atom_site_fract_y
_atom_site_fract_z
_atom_site_occupancy
Mn1 0.000 0.250 0.125 1
Ni1 0.000 0.000 0.000 1
Ni2 0.000 0.250 0.375 1
H1 0.017 0.061 0.652 1
# Uncorrected energy ... -768.43 eV per cell
# Magnetization ... 78.4 μB/cell

=====

No. 3
# TcW5 (PBE-GGA, optimized geometry)
data_TcW5
_space_group_name_H-M_alt 'F -4 3 m'
_space_group_IT_number 216
_space_group_name_Hall 'F -4 2 3'
_cell_length_a 7.367
_cell_length_b 7.367
_cell_length_c 7.367
_cell_angle_alpha 90.00
_cell_angle_beta 90.00
_cell_angle_gamma 90.00
loop_
_atom_site_label
_atom_site_fract_x
_atom_site_fract_y
_atom_site_fract_z
_atom_site_occupancy
Tc1 0.000 0.000 0.000 1
W1 0.125 0.125 0.625 1
W2 0.250 0.250 0.250 1
# Uncorrected energy ... -289.54 eV per cell
# ΔE_f ... 2.7 eV per formula unit
# Energy above the most stable polymorph in this dataset ... 0.433 eV per atom
# Magnetization ... 0.0 μB/cell

=====

No. 4
# Pr3Cd (PBE-GGA, optimized geometry)
data_Pr3Cd
_space_group_name_H-M_alt 'I 4/m m m'
_space_group_IT_number 139
_space_group_name_Hall '-I 4 2'
_cell_length_a 4.954
_cell_length_b 4.954
_cell_length_c 10.284
_cell_angle_alpha 90.00
_cell_angle_beta 90.00
_cell_angle_gamma 90.00
loop_
_atom_site_label
_atom_site_fract_x
_atom_site_fract_y
_atom_site_fract_z
_atom_site_occupancy
Pr1 0.000 0.000 0.000 1
Pr2 0.000 0.500 0.250 1
Cd1 0.000 0.000 0.500 1
# Uncorrected energy ... -31.40 eV per cell
# ΔE_f ... -0.4 eV per formula unit
# Energy above the most stable polymorph in this dataset ... 0.023 eV per atom
# Magnetization ... 0.0 μB/cell

=====

No. 5
# ScBi3Se (PBE-GGA, optimized geometry)
data_ScBi3Se
_space_group_name_H-M_alt 'P m -3 m'
_space_group_IT_number 221
_space_group_name_Hall '-P 4 2 3'
_cell_length_a 5.524
_cell_length_b 5.524
_cell_length_c 5.524
_cell_angle_alpha 90.00
_cell_angle_beta 90.00
_cell_angle_gamma 90.00
loop_
_atom_site_label
_atom_site_fract_x
_atom_site_fract_y
_atom_site_fract_z
_atom_site_occupancy
Sc1 0.000 0.000 0.000 1
Bi1 0.000 0.500 0.500 1
Se1 0.500 0.500 0.500 1
# Uncorrected energy ... -19.54 eV per cell
# Uncorrected formation energy ... 185 kJ/mol of formula units
# Energy above the most stable polymorph in this dataset ... 0.045 eV per atom
# Magnetization ... 0.0 μB/cell

=====

No. 6
# La2HfSb4Pd3 (PBE-GGA, optimized geometry)
data_La2HfSb4Pd3
_space_group_name_H-M_alt 'P -4 m 2'
_space_group_IT_number 115
_cell_length_a 4.550
_cell_length_b 4.550
_cell_length_c 11.678
_cell_angle_alpha 90.00
_cell_angle_beta 90.00
_cell_angle_gamma 90.00
loop_
_space_group_symop_operation_xyz
'x,y,z'
'y,-x,-z'
'-x,-y,z'
'-y,x,-z'
'-x,y,z'
'-y,-x,-z'
'x,-y,z'
'y,x,-z'
loop_
_atom_site_label
_atom_site_fract_x
_atom_site_fract_y
_atom_site_fract_z
_atom_site_occupancy
La1 0.000 0.500 0.238 1
Hf1 0.000 0.000 0.500 1
Sb1 0.000 0.000 0.000 1
Sb2 0.000 0.500 0.645 1
Sb3 0.500 0.500 0.000 1
Pd1 0.000 0.500 0.870 1
Pd2 0.500 0.500 0.500 1
# Uncorrected energy ... -59.78 eV per cell
# Uncorrected formation energy ... -763 kJ/mol of formula units
# Magnetization ... 0.0 μB/cell

=====

No. 7
# Cu2SiAs (PBE-GGA, optimized geometry)
data_Cu2SiAs
_space_group_name_H-M_alt 'C 1 2/m 1'
_space_group_IT_number 12
_cell_length_a 5.541
_cell_length_b 7.440
_cell_length_c 2.806
_cell_angle_alpha 90.00
_cell_angle_beta 90.30
_cell_angle_gamma 90.00
loop_
_space_group_symop_operation_xyz
'x,y,z'
'-x,-y,-z'
'-x,y,-z'
'x,-y,z'
'x+1/2,y+1/2,z'
'-x+1/2,-y+1/2,-z'
'-x+1/2,y+1/2,-z'
'x+1/2,-y+1/2,z'
loop_
_atom_site_label
_atom_site_fract_x
_atom_site_fract_y
_atom_site_fract_z
_atom_site_occupancy
Cu1 0.250 0.250 0.000 1
Si1 0.000 0.000 0.500 1
As1 0.000 0.500 0.500 1
# Uncorrected energy ... -34.52 eV per cell
# Uncorrected formation energy ... 97 kJ/mol of formula units
# Magnetization ... 0.0 μB/cell

=====

No. 8
# LiZr2CuN (PBE-GGA, optimized geometry)
data_LiZr2CuN
_space_group_name_H-M_alt 'P 4/m m m'
_space_group_IT_number 123
_space_group_name_Hall '-P 4 2'
_cell_length_a 4.456
_cell_length_b 4.456
_cell_length_c 3.818
_cell_angle_alpha 90.00
_cell_angle_beta 90.00
_cell_angle_gamma 90.00
loop_
_atom_site_label
_atom_site_fract_x
_atom_site_fract_y
_atom_site_fract_z
_atom_site_occupancy
Li1 0.000 0.000 0.000 1
Zr1 0.000 0.500 0.500 1
Cu1 0.500 0.500 0.000 1
N1 0.000 0.000 0.500 1
# Uncorrected energy ... -34.38 eV per cell
# Uncorrected formation energy ... -285 kJ/mol of formula units
# Magnetization ... 0.0 μB/cell

=====

No. 9
# Sr5Cd4Pd (PBE-GGA, optimized geometry)
data_Sr5Cd4Pd
_space_group_name_H-M_alt 'P 4/m m m'
_space_group_IT_number 123
_space_group_name_Hall '-P 4 2'
_cell_length_a 3.943
_cell_length_b 3.943
_cell_length_c 20.415
_cell_angle_alpha 90.00
_cell_angle_beta 90.00
_cell_angle_gamma 90.00
loop_
_atom_site_label
_atom_site_fract_x
_atom_site_fract_y
_atom_site_fract_z
_atom_site_occupancy
Sr1 0.000 0.000 0.000 1
Sr2 0.000 0.000 0.206 1
Sr3 0.000 0.000 0.413 1
Cd1 0.500 0.500 0.103 1
Cd2 0.500 0.500 0.310 1
Pd1 0.500 0.500 0.500 1
# Uncorrected energy ... -20.94 eV per cell
# ΔE_f ... -3.7 eV per formula unit
# Magnetization ... 0.0 μB/cell

=====

No. 10
# Nb3AlMo (PBE-GGA, optimized geometry)
data_Nb3AlMo
_space_group_name_H-M_alt 'P m -3 m'
_space_group_IT_number 221
_space_group_name_Hall '-P 4 2 3'
_cell_length_a 4.659
_cell_length_b 4.659
_cell_length_c 4.659
_cell_angle_alpha 90.00
_cell_angle_beta 90.00
_cell_angle_gamma 90.00
loop_
_atom_site_label
_atom_site_fract_x
_atom_site_fract_y
_atom_site_fract_z
_atom_site_occupancy
Nb1 0.000 0.000 0.500 1
Al1 0.000 0.000 0.000 1
Mo1 0.500 0.500 0.500 1
# Uncorrected energy ... -37.89 eV per cell
# ΔE_f ... 6.9 eV per formula unit
# Energy above the most stable polymorph in this dataset ... 1.255 eV per atom
# Magnetization ... 0.0 μB/cell

=====

No. 11
# Tl2CdTe2 (PBE-GGA, optimized geometry)
data_Tl2CdTe2
_space_group_name_H-M_alt 'C 1 2/c 1'
_space_group_IT_number 15
_cell_length_a 10.217
_cell_length_b 14.042
_cell_length_c 7.076
_cell_angle_alpha 90.00
_cell_angle_beta 133.58
_cell_angle_gamma 90.00
loop_
_space_group_symop_operation_xyz
'x,y,z'
'-x,-y,-z'
'-x,y,-z+1/2'
'x,-y,z+1/2'
'x+1/2,y+1/2,z'
'-x+1/2,-y+1/2,-z'
'-x+1/2,y+1/2,-z+1/2'
'x+1/2,-y+1/2,z+1/2'
loop_
_atom_site_label
_atom_site_fract_x
_atom_site_fract_y
_atom_site_fract_z
_atom_site_occupancy
Tl1 0.170 0.139 0.170 1
Cd1 0.000 0.500 0.250 1
Te1 0.215 0.382 0.213 1
# Uncorrected energy ... -54.34 eV per cell
# Uncorrected formation energy ... -160 kJ/mol of formula units
# Energy above the most stable polymorph in this dataset ... 0.008 eV per atom
# Magnetization ... 0.0 μB/cell

=====

No. 12
# CaCe2NbN4 (PBE-GGA, optimized geometry)
data_CaCe2NbN4
_space_group_name_H-M_alt 'I -4 m 2'
_space_group_IT_number 119
_space_group_name_Hall 'I -4 -2'
_cell_length_a 4.835
_cell_length_b 4.835
_cell_length_c 9.710
_cell_angle_alpha 90.00
_cell_angle_beta 90.00
_cell_angle_gamma 90.00
loop_
_atom_site_label
_atom_site_fract_x
_atom_site_fract_y
_atom_site_fract_z
_atom_site_occupancy
Ca1 0.000 0.000 0.000 1
Ce1 0.000 0.000 0.500 1
Ce2 0.000 0.500 0.250 1
Nb1 0.000 0.500 0.750 1
N1 0.000 0.000 0.253 1
N2 0.000 0.500 0.521 1
# Uncorrected energy ... -134.20 eV per cell
# Uncorrected formation energy ... -951 kJ/mol of formula units
# Magnetization ... 0.0 μB/cell

=====

Question: What is the magnetization in the third record?
Answer: 0.0 μB/cell

=====

Question: Look up the uncorrected energy of the ninth one.
Answer: -20.94 eV per cell

=====

What did the ninth record say?
# Sr5Cd4Pd (PBE-GGA, optimized geometry)
data_Sr5Cd4Pd
_space_group_name_H-M_alt 'P 4/m m m'
_space_group_IT_number 123
_space_group_name_Hall '-P 4 2'
_cell_length_a 3.943
_cell_length_b 3.943
_cell_length_c 20.415
_cell_angle_alpha 90.00
_cell_angle_beta 90.00
_cell_angle_gamma 90.00
loop_
_atom_site_label
_atom_site_fract_x
_atom_site_fract_y
_atom_site_fract_z
_atom_site_occupancy
Sr1 0.000 0.000 0.000 1
Sr2 0.000 0.000 0.206 1
Sr3 0.000 0.000 0.413 1
Cd1 0.500 0.500 0.103 1
Cd2 0.500 0.500 0.310 1
Pd1 0.500 0.500 0.500 1
# Uncorrected energy ... -20.94 eV per cell
# ΔE_f ... -3.7 eV per formula unit
# Magnetization ... 0.0 μB/cell

=====

Question: What is the formula in the twelfth record?
Answer: CaCe2NbN4